# CsHoH

CsHoH after structural relaxation (PBE-GGA, Alexandria).

a = 3.7228 Å, b = 3.7074 Å, c = 14.6356 Å
α = 90.00°, β = 90.00°, γ = 120.14°
Closest atoms and distances in Å follow each position.
Atoms (fractional coordinates):
Ho  0.6646  0.3291  0.6046  3 H 2.61-2.65
Ho  0.6646  0.3291  0.3954  3 H 2.61-2.65
Cs  0.2217  0.4434  0.1360  3 H 2.92-2.94
H  0.3349  0.6698  0.5000  6 Ho 2.61-2.65
Cs  0.2217  0.4434  0.8640  3 H 2.92-2.94
H  0.5592  0.1183  0.0000  6 Cs 2.92-2.94

Total magnetic moment (μB/f.u.): 0.073
SG: Amm2, No. 38
Fermi-level density of states (states/eV/f.u.): 1.9
VASP energy (eV/cell): -16.1

***

# Cs2HoH4

Cs2HoH4 after structural relaxation (PBE-GGA, Alexandria).

a = 4.4228 Å, b = 4.4228 Å, c = 8.5717 Å
α = 75.05°, β = 75.05°, γ = 90.00°
Closest atoms and distances in Å follow each position.
Atoms (fractional coordinates):
Ho  0.0000  0.0000  0.0000  6 H 2.21
Cs  0.3440  0.3440  0.3119  9 H 3.14-3.33
H  0.0000  0.5000  0.0000  2 Ho 2.21
Cs  0.6560  0.6560  0.6881  9 H 3.14-3.33
H  0.8616  0.8616  0.2768  1 Ho 2.21
H  0.5000  0.0000  0.0000  2 Ho 2.21
H  0.1384  0.1384  0.7232  1 Ho 2.21

Total magnetic moment (μB/f.u.): 0.000
SG: I4/mmm, No. 139
Fermi-level density of states (states/eV/f.u.): 2.8
VASP energy (eV/cell): -21.3